## MnBeF3 (GGA+U)

Data for a relaxed MnBeF3 crystal.

Cell lengths 4.162, 4.162, 4.162 Å; angles 90.00, 90.00, 90.00 degrees
Positions (direct):
1 Mn 0.000 0.000 0.000
2 Be 0.500 0.500 0.500
3 F 0.000 0.000 0.500
4 F 0.000 0.500 0.000
5 F 0.500 0.000 0.000

Output
Its relative energy among the computed polymorphs is 500 meV per atom.